Here is a relaxed structure of Sm2PAu from the Alexandria database. Energies are from PBE.

Summary:
Energy of formation from the pure elements in kJ/mol of atoms: -105.1
DOS at the Fermi energy in states/eV/f.u.: 4.8

Cell and atoms, written as POSCAR:
```
Sm2PAu
1.0
2.053 1.185 7.152
-2.053 1.185 7.152
0.000 -2.371 7.152
Sm P Au
2 1 1
Direct
0.242 0.242 0.242
0.758 0.758 0.758
0.500 0.500 0.500
0.000 0.000 0.000
```


Here is a relaxed structure of Sm6Te3P2Au from the Alexandria database. Energies are from PBE.

Summary:
Formation energy without anion corrections in eV per atom: -1.394
DOS at the Fermi energy in states/eV/f.u.: 5.7

Cell and atoms, written as POSCAR:
```
Sm6Te3P2Au
1.0
9.444 -2.112 0.000
9.444 2.112 0.000
-2.154 0.000 8.504
Sm Te P Au
6 3 2 1
Direct
0.011 0.011 0.244
0.325 0.325 0.436
0.333 0.333 0.888
0.667 0.667 0.112
0.675 0.675 0.564
0.989 0.989 0.756
0.164 0.164 0.832
0.500 0.500 0.500
0.836 0.836 0.168
0.169 0.169 0.337
0.831 0.831 0.663
0.500 0.500 0.000
```


Here is a relaxed structure of Sn2P2Au from the Alexandria database. Energies are from PBE.

Summary:
Energy of formation from the pure elements in kJ/mol of atoms: 22.1
DOS at the Fermi energy in states/eV/f.u.: 1.5

Cell and atoms, written as POSCAR:
```
Sn2P2Au
1.0
7.503 0.000 0.000
0.000 7.503 0.000
0.000 0.000 3.805
Sn P Au
4 4 2
Direct
0.151 0.349 0.000
0.349 0.849 0.000
0.651 0.151 0.000
0.849 0.651 0.000
0.171 0.671 0.500
0.329 0.171 0.500
0.671 0.829 0.500
0.829 0.329 0.500
0.000 0.000 0.500
0.500 0.500 0.500
```